Record 1
Y7Er4Th: optimized geometry, PBE.

Summary:
The calculation puts the energy above the most stable polymorph in this dataset at 0 meV per atom. The total DFT energy (no corrections) comes out at -70.9 eV/cell. As for the symmetry: P-1, No. 2. The magnetization comes out at 0.0 μB/f.u. The formation energy comes out at 0.00 eV per atom.

a b c (Å): 7.166 9.466 8.840
angles (deg): 81.19 90.13 40.96
Element x y z (fractional)
Y1 0.746 0.501 0.001
Y2 0.254 0.499 0.999
Y3 0.972 0.278 0.667
Y4 0.028 0.722 0.333
Y5 0.219 0.781 0.668
Y6 0.500 0.000 0.000
Y7 0.781 0.219 0.332
Er1 0.525 0.725 0.332
Er2 0.475 0.275 0.668
Er3 0.722 0.778 0.661
Er4 0.278 0.222 0.339
Th1 0.000 0.000 0.000


Record 2
YEr5Th5: optimized geometry, PBE.

Summary:
The total DFT energy (no corrections) comes out at -62.2 eV/cell. As for the symmetry: P-6m2, No. 187. The magnetization comes out at 0.0 μB/f.u. The formation energy comes out at 0.38 eV per atom.

a b c (Å): 6.283 6.283 11.121
angles (deg): 90.00 90.00 120.00
Element x y z (fractional)
Y1 0.333 0.667 0.000
Er1 0.667 0.333 0.181
Er2 0.667 0.333 0.819
Er3 0.333 0.667 0.328
Er4 0.333 0.667 0.672
Er5 0.000 0.000 0.000
Th1 0.347 0.173 0.500
Th2 0.000 0.000 0.268
Th3 0.827 0.653 0.500
Th4 0.827 0.173 0.500
Th5 0.000 0.000 0.732


Record 3
Y5Er2Th2: optimized geometry, PBE.

Summary:
The calculation puts the energy above the most stable polymorph in this dataset at 0 meV per atom. The total DFT energy (no corrections) comes out at -107.8 eV/cell. As for the symmetry: Ima2, No. 46. The magnetization comes out at 0.0 μB/f.u. The formation energy comes out at 0.26 eV per atom.

a b c (Å): 11.891 6.647 10.081
angles (deg): 109.25 126.14 90.00
Element x y z (fractional)
Y1 0.203 0.659 0.893
Y2 0.797 0.766 0.107
Y3 0.190 0.159 0.893
Y4 0.810 0.266 0.107
Y5 0.367 0.048 0.286
Y6 0.633 0.762 0.714
Y7 0.419 0.548 0.286
Y8 0.581 0.262 0.714
Y9 0.023 0.654 0.500
Y10 0.977 0.154 0.500
Er1 0.128 0.675 0.250
Er2 0.872 0.425 0.750
Er3 0.622 0.175 0.250
Er4 0.378 0.925 0.750
Th1 0.000 0.018 0.000
Th2 0.500 0.518 0.000
Th3 0.247 0.328 0.500
Th4 0.753 0.828 0.500


Record 4
Y2Er8Th3: optimized geometry, PBE.

Summary:
The calculation puts the energy above the most stable polymorph in this dataset at 178 meV per atom. The total DFT energy (no corrections) comes out at -68.1 eV/cell. As for the symmetry: C2/m, No. 12. The magnetization comes out at 0.0 μB/f.u. The formation energy comes out at 0.28 eV per atom.

a b c (Å): 6.686 9.209 8.804
angles (deg): 121.53 105.28 90.00
Element x y z (fractional)
Y1 0.409 0.198 0.397
Y2 0.591 0.802 0.603
Er1 0.216 0.586 0.172
Er2 0.784 0.414 0.828
Er3 0.920 0.203 0.406
Er4 0.080 0.797 0.594
Er5 0.313 0.565 0.774
Er6 0.313 0.209 0.774
Er7 0.687 0.791 0.226
Er8 0.687 0.435 0.226
Th1 0.500 0.000 0.000
Th2 0.000 0.168 0.000
Th3 0.000 0.832 0.000


Record 5
YErTh2: optimized geometry, PBE.

Summary:
The calculation puts the energy above the most stable polymorph in this dataset at 103 meV per atom. The total DFT energy (no corrections) comes out at -25.3 eV/cell. As for the symmetry: Fm-3m, No. 225. The magnetization comes out at 0.0 μB/f.u. The formation energy comes out at 0.14 eV per atom.

a b c (Å): 5.650 5.650 5.650
angles (deg): 60.00 60.00 60.00
Element x y z (fractional)
Y1 0.500 0.500 0.500
Th1 0.250 0.250 0.250
Th2 0.750 0.750 0.750
Er1 0.000 0.000 0.000


Record 6
Y6ErTh2: optimized geometry, PBE.

Summary:
The calculation puts the energy above the most stable polymorph in this dataset at 64 meV per atom. The total DFT energy (no corrections) comes out at -114.0 eV/cell. As for the symmetry: C2/c, No. 15. The magnetization comes out at 0.0 μB/f.u. The formation energy comes out at 0.13 eV per atom.

a b c (Å): 6.735 10.507 10.507
angles (deg): 109.90 71.80 71.80
Element x y z (fractional)
Y1 0.532 0.305 0.620
Y2 0.968 0.380 0.695
Y3 0.468 0.695 0.380
Y4 0.032 0.620 0.305
Y5 0.026 0.039 0.669
Y6 0.474 0.331 0.961
Y7 0.974 0.961 0.331
Y8 0.526 0.669 0.039
Y9 0.943 0.335 0.021
Y10 0.557 0.979 0.665
Y11 0.057 0.665 0.979
Y12 0.443 0.021 0.335
Er1 0.250 0.988 0.012
Er2 0.750 0.012 0.988
Th1 0.492 0.347 0.317
Th2 0.008 0.683 0.653
Th3 0.508 0.653 0.683
Th4 0.992 0.317 0.347


Record 7
YEr2Th2: optimized geometry, PBE.

Summary:
The calculation puts the energy above the most stable polymorph in this dataset at 0 meV per atom. The total DFT energy (no corrections) comes out at -121.1 eV/cell. As for the symmetry: P2_1/c, No. 14. The magnetization comes out at 0.0 μB/f.u. The formation energy comes out at 0.03 eV per atom.

a b c (Å): 6.179 7.101 14.561
angles (deg): 90.00 98.23 90.00
Element x y z (fractional)
Y1 0.851 0.374 0.302
Y2 0.149 0.626 0.698
Y3 0.351 0.126 0.302
Y4 0.649 0.874 0.698
Er1 0.549 0.125 0.902
Er2 0.049 0.375 0.902
Er3 0.951 0.625 0.098
Er4 0.451 0.875 0.098
Er5 0.352 0.623 0.303
Er6 0.852 0.877 0.303
Er7 0.148 0.123 0.697
Er8 0.648 0.377 0.697
Th1 0.949 0.128 0.098
Th2 0.449 0.372 0.098
Th3 0.551 0.628 0.902
Th4 0.051 0.872 0.902
Th5 0.249 0.375 0.501
Th6 0.749 0.125 0.501
Th7 0.251 0.875 0.499
Th8 0.751 0.625 0.499


Record 8
Y8ErTh2: optimized geometry, PBE.

Summary:
The calculation puts the energy above the most stable polymorph in this dataset at 22 meV per atom. The total DFT energy (no corrections) comes out at -68.9 eV/cell. As for the symmetry: C2/m, No. 12. The magnetization comes out at 0.0 μB/f.u. The formation energy comes out at 0.21 eV per atom.

a b c (Å): 5.971 8.992 9.154
angles (deg): 60.58 74.88 57.93
Element x y z (fractional)
Y1 0.834 0.100 0.230
Y2 0.834 0.330 0.770
Y3 0.297 0.418 0.000
Y4 0.500 0.789 0.421
Y5 0.500 0.211 0.579
Y6 0.703 0.582 0.000
Y7 0.166 0.670 0.230
Y8 0.166 0.900 0.770
Er1 0.500 0.000 0.000
Th1 0.000 0.305 0.390
Th2 0.000 0.695 0.610


> Which formula does entry 7 have?

YEr2Th2


> Number 2 is which compound?

YEr5Th5


> total DFT energy (no corrections) of number 6 (Y6ErTh2)?

-114.0 eV/cell


> The highest total DFT energy (no corrections) belongs to which entry?

YErTh2